! Li3P2WO9 | the Alexandria database | PBE with a Hubbard U | optimized geometry; values from VASP
! Total DFT energy (no corrections) ... -6.80 eV per atom
! Magnetic moment ... 0.067 μB/atom
&SYSTEM
  ibrav = 0, nat = 60, ntyp = 4
/
ATOMIC_SPECIES
Li 6.94 Li.upf
P 30.97 P.upf
W 183.84 W.upf
O 16.00 O.upf
CELL_PARAMETERS angstrom
5.0661 0.0000 0.0000
0.0000 16.3869 0.0000
-1.9429 0.0000 8.6044
ATOMIC_POSITIONS crystal
Li 0.2114 0.1232 0.4658
Li 0.2114 0.3768 0.9658
Li 0.2427 0.1358 0.0935
Li 0.2427 0.3642 0.5935
Li 0.2725 0.6840 0.0554
Li 0.2725 0.8160 0.5554
Li 0.7275 0.1840 0.4446
Li 0.7275 0.3160 0.9446
Li 0.7573 0.6358 0.4065
Li 0.7573 0.8642 0.9065
Li 0.7886 0.6232 0.0342
Li 0.7886 0.8768 0.5342
P 0.1721 0.2202 0.7749
P 0.1721 0.2798 0.2749
P 0.2075 0.5403 0.3011
P 0.2075 0.9597 0.8011
P 0.7925 0.0403 0.1989
P 0.7925 0.4597 0.6989
P 0.8279 0.7202 0.7251
P 0.8279 0.7798 0.2251
W 0.3054 0.5980 0.6867
W 0.3054 0.9020 0.1867
W 0.6946 0.0980 0.8133
W 0.6946 0.4020 0.3133
O 0.0344 0.0380 0.7920
O 0.0344 0.4620 0.2920
O 0.0917 0.7077 0.6565
O 0.0917 0.7923 0.1565
O 0.0950 0.1976 0.6046
O 0.0950 0.3024 0.1046
O 0.1409 0.5886 0.1523
O 0.1409 0.9114 0.6523
O 0.1544 0.5913 0.4422
O 0.1544 0.9087 0.9422
O 0.2929 0.1934 0.3001
O 0.2929 0.3066 0.8001
O 0.3872 0.1616 0.8814
O 0.3872 0.3384 0.3814
O 0.4396 0.6079 0.8897
O 0.4396 0.8921 0.3897
O 0.4838 0.0154 0.1610
O 0.4838 0.4846 0.6610
O 0.5162 0.5154 0.3390
O 0.5162 0.9846 0.8390
O 0.5604 0.1079 0.6103
O 0.5604 0.3921 0.1103
O 0.6128 0.6616 0.6186
O 0.6128 0.8384 0.1186
O 0.7071 0.6934 0.1999
O 0.7071 0.8066 0.6999
O 0.8456 0.0913 0.0578
O 0.8456 0.4087 0.5578
O 0.8591 0.0886 0.3477
O 0.8591 0.4114 0.8477
O 0.9050 0.6976 0.8954
O 0.9050 0.8024 0.3954
O 0.9083 0.2077 0.8435
O 0.9083 0.2923 0.3435
O 0.9656 0.5380 0.7080
O 0.9656 0.9620 0.2080